Entry 1:
The following is a DFT calculation (PBE-GGA) of a relaxed structure of La2GaPt2.

Values from the calculation:
VASP energy in eV/atom: -6.027
Crystal system: tetragonal
D(E_F) in states/eV per cell: 7.6
Energy of formation from the pure elements in eV/atom: -1.034

Cell lengths 7.8057, 7.8057, 3.9522 Å; angles 90.00, 90.00, 90.00 degrees
Last column: nearest neighbours and their distance in Å.
Space group P4/mbm (No. 127)
One atom of each set of equivalent atoms:
1 La 0.1755 0.3245 0.0000 (multiplicity 4)  6 Pt 2.91-3.12
2 Ga 0.0000 0.0000 0.5000 (multiplicity 2)  4 Pt 3.06
3 Pt 0.1311 0.6311 0.5000 (multiplicity 4)  1 Pt 2.89, 6 La 2.91-3.12, 2 Ga 3.06

---

Entry 2:
The following is a DFT calculation (PBE-GGA) of a relaxed structure of LaGa4Pt12.

Values from the calculation:
VASP energy in eV/atom: -5.447
Crystal system: cubic
D(E_F) in states/eV per cell: 16.6
Energy of formation from the pure elements in eV/atom: -0.180

Cell lengths 8.6103, 8.6103, 8.6103 Å; angles 90.00, 90.00, 90.00 degrees
Last column: nearest neighbours and their distance in Å.
Space group Im-3 (No. 204)
One atom of each set of equivalent atoms:
1 La 0.0000 0.0000 0.0000 (multiplicity 2)  12 Pt 3.26
2 Ga 0.2500 0.2500 0.2500 (multiplicity 8)  6 Pt 2.45
3 Pt 0.0000 0.3468 0.1532 (multiplicity 24)  2 Ga 2.45, 2 Pt 2.64

---

Entry 3:
The following is a DFT calculation (PBE-GGA) of a relaxed structure of LaGaPt4.

Values from the calculation:
VASP energy in eV/atom: -6.146
Energy above the most stable polymorph in this dataset in eV/atom: 0.0118
Crystal system: orthorhombic
D(E_F) in states/eV per cell: 6.2
Energy of formation from the pure elements in eV/atom: -0.793

Cell lengths 7.6971, 4.0754, 7.0814 Å; angles 90.00, 90.00, 90.00 degrees
Last column: nearest neighbours and their distance in Å.
Space group Pmma (No. 51)
One atom of each set of equivalent atoms:
1 La 0.2500 0.0000 0.1443 (multiplicity 2)  1 Ga 3.00, 8 Pt 3.02-3.17
2 Ga 0.2500 0.0000 0.7209 (multiplicity 2)  8 Pt 2.48-2.76
3 Pt 0.0000 0.0000 0.5000 (multiplicity 2)  2 Ga 2.48
4 Pt 0.0491 0.5000 0.8062 (multiplicity 4)  2 Ga 2.63, 2 Pt 2.85-2.90
5 Pt 0.2500 0.5000 0.4589 (multiplicity 2)  2 Ga 2.76, 8 Pt 2.82-2.97, 2 La 3.02

---

Entry 4:
The following is a DFT calculation (PBE-GGA) of a relaxed structure of La3Ga2Pt.

Values from the calculation:
VASP energy in eV/atom: -5.240
Crystal system: orthorhombic
D(E_F) in states/eV per cell: 20.2
Energy of formation from the pure elements in eV/atom: -0.761

Cell lengths 12.5752, 4.6248, 11.2432 Å; angles 90.00, 90.00, 90.00 degrees
Last column: nearest neighbours and their distance in Å.
Space group Pnma (No. 62)
One atom of each set of equivalent atoms:
1 La 0.0477 0.2500 0.1135 (multiplicity 4)  1 Pt 3.00, 4 Ga 3.12-3.25
2 La 0.1169 0.7500 0.5567 (multiplicity 4)  3 Pt 3.05-3.13, 5 Ga 3.22-3.30
3 La 0.2326 0.2500 0.7994 (multiplicity 4)  2 Pt 3.09, 5 Ga 3.22-3.41, 1 La 3.46
4 Ga 0.0117 0.7500 0.2958 (multiplicity 4)  2 Pt 2.78
5 Ga 0.2017 0.7500 0.0047 (multiplicity 4)  1 Pt 2.75
6 Pt 0.1164 0.2500 0.3686 (multiplicity 4)  3 Ga 2.75-2.78, 2 La 3.00-3.05

---

Entry 5:
The following is a DFT calculation (PBE-GGA) of a relaxed structure of La2Ga5Pt.

Values from the calculation:
VASP energy in eV/atom: -4.505
Energy above the most stable polymorph in this dataset in eV/atom: 0.1001
Crystal system: tetragonal
D(E_F) in states/eV per cell: 8.5
Energy of formation from the pure elements in eV/atom: -0.627

Cell lengths 6.2308, 6.2308, 9.3435 Å; angles 90.00, 90.00, 90.00 degrees
Last column: nearest neighbours and their distance in Å.
Space group I4mm (No. 107)
One atom of each set of equivalent atoms:
1 La 0.0000 0.5000 0.0000 (multiplicity 4)  10 Ga 3.13-3.24
2 Ga 0.0000 0.0000 0.4662 (multiplicity 2)  1 Pt 2.51, 4 Ga 2.74
3 Ga 0.2126 0.2126 0.2516 (multiplicity 8)  1 Pt 2.54, 3 Ga 2.65-2.74
4 Pt 0.0000 0.0000 0.7352 (multiplicity 2)  5 Ga 2.51-2.54

---

Entry 6:
The following is a DFT calculation (PBE-GGA) of a relaxed structure of La3GaPt.

Values from the calculation:
VASP energy in eV/atom: -5.125
Energy above the most stable polymorph in this dataset in eV/atom: 0.0000
Crystal system: cubic
D(E_F) in states/eV per cell: 12.8
Energy of formation from the pure elements in eV/atom: -0.355

Cell lengths 5.7158, 5.7158, 5.7158 Å; angles 90.00, 90.00, 90.00 degrees
Last column: nearest neighbours and their distance in Å.
Space group Pm-3m (No. 221)
One atom of each set of equivalent atoms:
1 La 0.0000 0.0000 0.5000 (multiplicity 3)  2 Pt 2.86
2 Ga 0.5000 0.5000 0.5000 (multiplicity 1)  12 La 4.04
3 Pt 0.0000 0.0000 0.0000 (multiplicity 1)  6 La 2.86

---

Entry 7:
The following is a DFT calculation (PBE-GGA) of a relaxed structure of LaGa2Pt8.

Values from the calculation:
VASP energy in eV/atom: -5.690
Crystal system: tetragonal
D(E_F) in states/eV per cell: 6.9
Energy of formation from the pure elements in eV/atom: -0.298

Cell lengths 5.3588, 5.3588, 8.2498 Å; angles 90.00, 90.00, 90.00 degrees
Last column: nearest neighbours and their distance in Å.
Space group P4/mmm (No. 123)
One atom of each set of equivalent atoms:
1 La 0.0000 0.0000 0.0000 (multiplicity 1)  8 Pt 3.03
2 Ga 0.0000 0.5000 0.5000 (multiplicity 2)  8 Pt 2.60
3 Pt 0.2532 0.2532 0.2843 (multiplicity 8)  2 Ga 2.60, 4 Pt 2.64-2.71

---

Entry 8:
The following is a DFT calculation (PBE-GGA) of a relaxed structure of La4Ga2Pt.

Values from the calculation:
VASP energy in eV/atom: -5.063
Crystal system: triclinic
D(E_F) in states/eV per cell: 16.0
Energy of formation from the pure elements in eV/atom: -0.520

Cell lengths 7.4886, 8.4840, 8.4961 Å; angles 78.49, 63.88, 63.90 degrees
Last column: nearest neighbours and their distance in Å.
Space group P-1 (No. 2)
One atom of each set of equivalent atoms:
1 La 0.0249 0.1797 0.2720 (multiplicity 2)  1 Pt 2.98, 3 Ga 3.12-3.19
2 La 0.0276 0.2890 0.7110 (multiplicity 2)  2 Pt 2.91-3.00, 3 Ga 3.11-3.21
3 La 0.4723 0.2889 0.7110 (multiplicity 2)  2 Pt 2.91-3.01, 3 Ga 3.11-3.21
4 La 0.4752 0.7280 0.8204 (multiplicity 2)  1 Pt 2.98, 3 Ga 3.12-3.19
5 Ga 0.0000 0.0000 0.0000 (multiplicity 1)  6 La 3.11-3.12
6 Ga 0.0000 0.5000 0.0000 (multiplicity 1)  6 La 3.19-3.21
7 Ga 0.5000 0.0000 0.0000 (multiplicity 1)  6 La 3.11-3.12
8 Ga 0.5000 0.0000 0.5000 (multiplicity 1)  6 La 3.19-3.21
9 Pt 0.2501 0.5218 0.4781 (multiplicity 2)  6 La 2.91-3.01

---

Entry 9:
The following is a DFT calculation (PBE-GGA) of a relaxed structure of LaGa3Pt2.

Values from the calculation:
VASP energy in eV/atom: -4.894
Crystal system: trigonal
D(E_F) in states/eV per cell: 14.3
Energy of formation from the pure elements in eV/atom: -0.545

Cell lengths 6.9729, 6.9729, 18.4647 Å; angles 90.00, 90.00, 120.00 degrees
Last column: nearest neighbours and their distance in Å.
Space group R-3m (No. 166, hexagonal axes)
One atom of each set of equivalent atoms:
1 La 0.0000 0.0000 0.2176 (multiplicity 6)  3 Pt 2.94, 3 Ga 3.19
2 Ga 0.0147 0.5073 0.2457 (multiplicity 18)  3 Pt 2.55-2.65
3 Pt 0.0000 0.0000 0.0000 (multiplicity 3)  6 Ga 2.65
4 Pt 0.0000 0.5000 0.0000 (multiplicity 9)  4 Ga 2.55

---

Entry 10:
The following is a DFT calculation (PBE-GGA) of a relaxed structure of La2Ga2Pt.

Values from the calculation:
VASP energy in eV/atom: -5.132
Energy above the most stable polymorph in this dataset in eV/atom: 0.1019
Crystal system: tetragonal
D(E_F) in states/eV per cell: 7.4
Energy of formation from the pure elements in eV/atom: -0.742

Cell lengths 6.9985, 6.9985, 4.7669 Å; angles 90.00, 90.00, 90.00 degrees
Last column: nearest neighbours and their distance in Å.
Space group P4/mbm (No. 127)
One atom of each set of equivalent atoms:
1 La 0.1672 0.3328 0.0000 (multiplicity 4)  6 Ga 3.07-3.20, 1 La 3.31
2 Ga 0.1375 0.6375 0.5000 (multiplicity 4)  2 Pt 2.71, 1 Ga 2.72
3 Pt 0.0000 0.0000 0.5000 (multiplicity 2)  4 Ga 2.71

---

Entry 11:
The following is a DFT calculation (PBE-GGA) of a relaxed structure of La2Ga7Pt12.

Values from the calculation:
VASP energy in eV/atom: -5.717
Crystal system: hexagonal
D(E_F) in states/eV per cell: 7.6
Energy of formation from the pure elements in eV/atom: -0.787

Cell lengths 10.0952, 10.0952, 4.1544 Å; angles 90.00, 90.00, 120.00 degrees
Last column: nearest neighbours and their distance in Å.
Space group P-6 (No. 174)
One atom of each set of equivalent atoms:
1 La 0.0000 0.0000 0.0000 (multiplicity 1)  12 Pt 3.29-3.50, 6 Ga 3.35
2 La 0.3333 0.6667 0.5000 (multiplicity 1)  6 Pt 3.20, 6 Ga 3.34
3 Ga 0.0410 0.5770 0.0000 (multiplicity 3)  5 Pt 2.53-2.65
4 Ga 0.2689 0.0177 0.5000 (multiplicity 3)  7 Pt 2.53-2.65
5 Ga 0.6667 0.3333 0.0000 (multiplicity 1)  9 Pt 2.48-2.72
6 Pt 0.0245 0.7608 0.5000 (multiplicity 3)  2 Ga 2.53-2.65, 2 Pt 2.83
7 Pt 0.1457 0.3954 0.0000 (multiplicity 3)  4 Ga 2.53-2.60
8 Pt 0.3827 0.1906 0.0000 (multiplicity 3)  4 Ga 2.48-2.58
9 Pt 0.5608 0.1331 0.5000 (multiplicity 3)  5 Ga 2.57-2.72

---

Entry 12:
The following is a DFT calculation (PBE-GGA) of a relaxed structure of LaGa4Pt6.

Values from the calculation:
VASP energy in eV/atom: -5.430
Energy above the most stable polymorph in this dataset in eV/atom: 0.2337
Crystal system: tetragonal
D(E_F) in states/eV per cell: 13.6
Energy of formation from the pure elements in eV/atom: -0.587

Cell lengths 6.7577, 6.7577, 9.2911 Å; angles 90.00, 90.00, 90.00 degrees
Last column: nearest neighbours and their distance in Å.
Space group I-42m (No. 121)
One atom of each set of equivalent atoms:
1 La 0.0000 0.0000 0.0000 (multiplicity 2)  8 Ga 3.29-3.58, 8 Pt 3.38-3.39
2 Ga 0.2002 0.2002 0.3250 (multiplicity 8)  4 Pt 2.41-2.66
3 Pt 0.0000 0.5000 0.0000 (multiplicity 4)  4 Pt 2.73, 4 Ga 2.93
4 Pt 0.1616 0.1616 0.6084 (multiplicity 8)  4 Ga 2.41-2.66